1.
VASP calculation (PBE) on a relaxed structure of Nb2VIr.

Computed properties:
formation enthalpy at 0 K: 0.051 eV per atom
spin magnetization: 0.00 μB/cell
energy relative to the lowest polymorph listed for this composition: 0.3408 eV per atom

Unit cell a=9.643 b=9.643 c=9.643 alpha=16.86 beta=16.86 gamma=16.86
Element x y z (fractional)
Nb (0.248, 0.248, 0.248)
Nb (0.752, 0.752, 0.752)
V (0.000, 0.000, 0.000)
Ir (0.500, 0.500, 0.500)

=====

2.
VASP calculation (PBE) on a relaxed structure of NbVIr2.

Computed properties:
formation enthalpy at 0 K: 0.215 eV per atom
spin magnetization: 0.00 μB/cell
energy relative to the lowest polymorph listed for this composition: 0.7404 eV per atom

Unit cell a=9.008 b=9.008 c=9.008 alpha=154.49 beta=154.49 gamma=36.39
Element x y z (fractional)
Nb (0.000, 0.000, 0.000)
Nb (0.750, 0.250, 0.500)
V (0.250, 0.750, 0.500)
V (0.500, 0.500, 0.000)
Ir (0.147, 0.625, 0.022)
Ir (0.375, 0.397, 0.522)
Ir (0.603, 0.125, 0.978)
Ir (0.875, 0.853, 0.478)

=====

3.
VASP calculation (PBE) on a relaxed structure of Nb2VIr.

Computed properties:
formation enthalpy at 0 K: -0.289 eV per atom
spin magnetization: 0.00 μB/cell
energy relative to the lowest polymorph listed for this composition: 0.0000 eV per atom

Unit cell a=4.499 b=4.499 c=4.499 alpha=60.00 beta=60.00 gamma=60.00
Element x y z (fractional)
Nb (0.250, 0.250, 0.250)
Nb (0.750, 0.750, 0.750)
V (0.000, 0.000, 0.000)
Ir (0.500, 0.500, 0.500)

=====

4.
VASP calculation (PBE) on a relaxed structure of NbV2Ir3.

Computed properties:
formation enthalpy at 0 K: -0.508 eV per atom
spin magnetization: 0.01 μB/cell

Unit cell a=2.797 b=2.797 c=11.246 alpha=90.00 beta=90.00 gamma=90.00
Element x y z (fractional)
Nb (0.000, 0.000, 0.000)
V (0.000, 0.000, 0.338)
V (0.000, 0.000, 0.662)
Ir (0.500, 0.500, 0.183)
Ir (0.500, 0.500, 0.500)
Ir (0.500, 0.500, 0.817)

=====

5.
VASP calculation (PBE) on a relaxed structure of NbVZnIr.

Computed properties:
formation enthalpy at 0 K: -0.255 eV per atom
spin magnetization: 2.84 μB/cell

Unit cell a=4.424 b=4.424 c=4.424 alpha=60.00 beta=60.00 gamma=60.00
Element x y z (fractional)
Nb (0.000, 0.000, 0.000)
V (0.250, 0.250, 0.250)
Zn (0.500, 0.500, 0.500)
Ir (0.750, 0.750, 0.750)

=====

6.
VASP calculation (PBE) on a relaxed structure of Nb2V2ZnIr5.

Computed properties:
formation enthalpy at 0 K: -0.262 eV per atom
spin magnetization: 0.00 μB/cell

Unit cell a=9.019 b=9.019 c=3.810 alpha=90.00 beta=90.00 gamma=90.00
Element x y z (fractional)
Nb (0.174, 0.326, 0.000)
Nb (0.326, 0.826, 0.000)
Nb (0.674, 0.174, 0.000)
Nb (0.826, 0.674, 0.000)
V (0.130, 0.630, 0.000)
V (0.370, 0.130, 0.000)
V (0.630, 0.870, 0.000)
V (0.870, 0.370, 0.000)
Zn (0.000, 0.000, 0.000)
Zn (0.500, 0.500, 0.000)
Ir (0.000, 0.500, 0.500)
Ir (0.067, 0.797, 0.500)
Ir (0.203, 0.067, 0.500)
Ir (0.297, 0.567, 0.500)
Ir (0.433, 0.297, 0.500)
Ir (0.500, 0.000, 0.500)
Ir (0.567, 0.703, 0.500)
Ir (0.703, 0.433, 0.500)
Ir (0.797, 0.933, 0.500)
Ir (0.933, 0.203, 0.500)